Entry 1:
DFT (GGA-PBE) results for BeIn2Cl after structural relaxation.

Results
excess energy over the best structure of this formula in the dataset: 199 meV/atom
N(E_F): 0.330 states/eV/atom
energy relative to the elements, uncorrected: 0.0749 eV/atom
electronic total energy: -0.099 hartree per atom

Unit cell a=3.078 b=3.078 c=9.842 alpha=90.00 beta=90.00 gamma=90.00
Sites, in units of the cell vectors:
Be 0.000 0.000 0.514
Cl 0.500 0.500 0.638
In 0.000 0.000 0.036
In 0.500 0.500 0.312

Entry 2:
DFT (GGA-PBE) results for TcAg2Ru after structural relaxation.

Results
excess energy over the best structure of this formula in the dataset: 144 meV/atom
N(E_F): 1.056 states/eV/atom
electronic total energy: -0.219 hartree per atom
formation energy from the elements: 375 meV per atom

Unit cell a=3.843 b=2.810 c=6.587 alpha=64.61 beta=90.00 gamma=90.00
Sites, in units of the cell vectors:
Ag 0.000 0.001 0.000
Ag 0.500 0.250 0.250
Ru 0.000 0.463 0.535
Tc 0.500 0.786 0.716

Entry 3:
DFT (GGA-PBE) results for TbSc2Sb after structural relaxation.

Results
excess energy over the best structure of this formula in the dataset: 592 meV/atom
N(E_F): 1.594 states/eV/atom
energy relative to the elements, uncorrected: 0.0303 eV/atom
electronic total energy: -0.196 hartree per atom

Unit cell a=3.361 b=3.361 c=11.253 alpha=81.41 beta=81.41 gamma=60.00
Sites, in units of the cell vectors:
Sc 0.096 0.096 0.711
Sc 0.904 0.904 0.289
Sb 0.500 0.500 0.500
Tb 0.000 0.000 0.000

Entry 4:
DFT (GGA-PBE) results for KAlPb after structural relaxation.

Results
N(E_F): 0.445 states/eV/atom
electronic total energy: -0.099 hartree per atom
formation energy from the elements: 169 meV per atom

Unit cell a=7.462 b=7.462 c=4.351 alpha=90.00 beta=90.00 gamma=64.44
Sites, in units of the cell vectors:
Pb 0.750 0.250 0.999
Pb 0.250 0.750 0.001
K 0.250 0.250 0.000
K 0.750 0.750 0.000
Al 0.000 0.000 0.500
Al 0.500 0.500 0.500

Entry 5:
DFT (GGA-PBE) results for NaMgAsO3 after structural relaxation.

Results
energy relative to the elements, uncorrected: -1.7255 eV/atom
electronic total energy: -0.201 hartree per atom

Unit cell a=3.062 b=5.702 c=10.141 alpha=103.61 beta=90.00 gamma=90.00
Sites, in units of the cell vectors:
Na 0.250 0.059 0.133
Na 0.750 0.941 0.867
Mg 0.250 0.545 0.115
Mg 0.750 0.455 0.885
As 0.250 0.269 0.612
As 0.750 0.731 0.388
O 0.750 0.805 0.231
O 0.250 0.195 0.769
O 0.250 0.523 0.347
O 0.750 0.477 0.653
O 0.750 0.315 0.054
O 0.250 0.685 0.946

Entry 6:
DFT (GGA-PBE) results for Dy2CdC after structural relaxation.

Results
N(E_F): 0.817 states/eV/atom
electronic total energy: -0.189 hartree per atom
formation energy from the elements: -296 meV per atom

Unit cell a=3.592 b=3.592 c=8.414 alpha=77.68 beta=77.68 gamma=60.00
Sites, in units of the cell vectors:
C 0.000 0.000 0.000
Cd 0.500 0.500 0.500
Dy 0.278 0.278 0.166
Dy 0.722 0.722 0.834

Entry 7:
DFT (GGA-PBE) results for Zr2ScS2 after structural relaxation.

Results
N(E_F): 0.558 states/eV/atom
energy relative to the elements, uncorrected: -1.1787 eV/atom
electronic total energy: -0.276 hartree per atom

Unit cell a=7.204 b=7.204 c=3.419 alpha=90.00 beta=90.00 gamma=90.00
Sites, in units of the cell vectors:
Sc 0.000 0.000 0.000
Sc 0.500 0.500 0.000
S 0.353 0.853 0.000
S 0.853 0.647 0.000
S 0.647 0.147 0.000
S 0.147 0.353 0.000
Zr 0.158 0.658 0.500
Zr 0.658 0.842 0.500
Zr 0.842 0.342 0.500
Zr 0.342 0.158 0.500

Entry 8:
DFT (GGA-PBE) results for Pm2PrSm3S6 after structural relaxation.

Results
N(E_F): 0.429 states/eV/atom
energy relative to the elements, uncorrected: -2.0304 eV/atom
electronic total energy: -0.238 hartree per atom

Unit cell a=6.990 b=6.990 c=6.986 alpha=99.57 beta=99.57 gamma=120.16
Sites, in units of the cell vectors:
Pm 0.333 0.667 0.000
Pm 0.667 0.333 0.000
Pr 0.000 0.000 0.000
Sm 0.165 0.835 0.500
Sm 0.835 0.165 0.500
Sm 0.500 0.500 0.500
S 0.915 0.578 0.745
S 0.748 0.748 0.254
S 0.085 0.422 0.255
S 0.578 0.915 0.745
S 0.252 0.252 0.746
S 0.422 0.085 0.255

Entry 9:
DFT (GGA-PBE) results for HoAl8Co4 after structural relaxation.

Results
N(E_F): 0.796 states/eV/atom
electronic total energy: -0.197 hartree per atom
formation energy from the elements: -518 meV per atom

Unit cell a=5.104 b=6.544 c=6.544 alpha=81.25 beta=67.05 gamma=67.05
Sites, in units of the cell vectors:
Ho 0.000 0.000 0.000
Al 0.000 0.339 0.661
Al 0.000 0.661 0.339
Al 0.339 0.661 0.661
Al 0.661 0.339 0.339
Al 0.500 0.777 0.223
Al 0.500 0.223 0.777
Al 0.277 0.223 0.223
Al 0.723 0.777 0.777
Co 0.000 0.000 0.500
Co 0.500 0.000 0.500
Co 0.000 0.500 0.000
Co 0.500 0.500 0.000

Entry 10:
DFT (GGA-PBE) results for TbGdErMg after structural relaxation.

Results
N(E_F): 1.184 states/eV/atom
electronic total energy: -0.227 hartree per atom
formation energy from the elements: 30 meV per atom

Unit cell a=5.499 b=5.499 c=5.499 alpha=60.00 beta=60.00 gamma=60.00
Sites, in units of the cell vectors:
Mg 0.000 0.000 0.000
Gd 0.750 0.750 0.750
Tb 0.250 0.250 0.250
Er 0.500 0.500 0.500

Entry 11:
DFT (GGA-PBE) results for Na3MgBi2O6 after structural relaxation.

Results
N(E_F): 0.532 states/eV/atom
energy relative to the elements, uncorrected: -1.5265 eV/atom
electronic total energy: -0.188 hartree per atom

Unit cell a=5.859 b=5.859 c=5.946 alpha=99.33 beta=99.33 gamma=120.12
Sites, in units of the cell vectors:
Na 0.159 0.841 0.500
Na 0.841 0.159 0.500
Na 0.500 0.500 0.500
Mg 0.000 0.000 0.000
Bi 0.333 0.667 0.000
Bi 0.667 0.333 0.000
O 0.927 0.613 0.781
O 0.757 0.757 0.214
O 0.073 0.387 0.219
O 0.613 0.927 0.781
O 0.243 0.243 0.786
O 0.387 0.073 0.219

Entry 12:
DFT (GGA-PBE) results for LaSc2Mn after structural relaxation.

Results
excess energy over the best structure of this formula in the dataset: 243 meV/atom
N(E_F): 1.411 states/eV/atom
electronic total energy: -0.234 hartree per atom
formation energy from the elements: 323 meV per atom

Unit cell a=10.435 b=10.435 c=10.435 alpha=17.81 beta=17.81 gamma=17.81
Sites, in units of the cell vectors:
Sc 0.892 0.892 0.892
Sc 0.108 0.108 0.108
Mn 0.500 0.500 0.500
La 0.000 0.000 0.000